## YCdRe2 (PBE)

Data for a geometry-optimized YCdRe2 structure.

Cell: 2.8243 2.8243 9.7202 Å, 90.00 90.00 108.81°
Closest atoms and distances in Å follow each position.
Fractional coordinates of all 4 atoms:
Y 0.0000 0.0000 0.0000  4 Y 2.82, 4 Re 2.97
Cd 0.0000 0.0000 0.5000  4 Cd 2.82, 4 Re 2.90
Re 0.5000 0.5000 0.2546  4 Re 2.82, 2 Cd 2.90, 2 Y 2.97
Re 0.5000 0.5000 0.7454  4 Re 2.82, 2 Cd 2.90, 2 Y 2.97

Crystal system   orthorhombic
Total energy   -0.27294 hartree per atom